Compound: Ce4CoCCl2
Source: Alexandria
Functional: PBE
Structure: optimized geometry

Calculated values
E_form (uncorrected) ... -0.8554 eV per atom

CIF file:
```
data_Ce4CoCCl2
_chemical_formula_sum 'Ce4 Co1 C1 Cl2'
_symmetry_space_group_name_H-M 'P 1'
_symmetry_Int_Tables_number 1
_cell_length_a 3.705
_cell_length_b 6.821
_cell_length_c 7.522
_cell_angle_alpha 107.99
_cell_angle_beta 90.00
_cell_angle_gamma 90.00
loop_
_symmetry_equiv_pos_as_xyz
'x,y,z'
loop_
_atom_site_label
_atom_site_type_symbol
_atom_site_fract_x
_atom_site_fract_y
_atom_site_fract_z
Co1 Co 0.000 0.000 0.000
Cl1 Cl 0.500 0.000 0.500
Cl2 Cl 0.000 0.500 0.500
C1 C 0.500 0.500 0.000
Ce1 Ce 0.500 0.757 0.809
Ce2 Ce 0.500 0.243 0.191
Ce3 Ce 0.000 0.711 0.202
Ce4 Ce 0.000 0.289 0.798
```